(1)
La6Sm2Dy | PBE | optimized geometry

a = 3.6746 Å, b = 3.6746 Å, c = 27.6713 Å
α = 90.00°, β = 90.00°, γ = 120.00°
Space group P-6m2 (No. 187)
One atom of each set of equivalent atoms:
La 0.0000 0.0000 0.0633 [2 per cell]
La 0.0000 0.0000 0.2798 [2 per cell]
La 0.3333 0.6667 0.3944 [2 per cell]
Sm 0.3333 0.6667 0.1698 [2 per cell]
Dy 0.0000 0.0000 0.5000 [1 per cell]

Properties
* magnetic moment: 0.00 μB per cell
* ΔE_f: 0.058 eV per atom
* theoretical density: 6.65 g/cm3

(2)
La12SmDy7 | PBE | optimized geometry

a = 19.6161 Å, b = 19.6161 Å, c = 6.3801 Å
α = 90.00°, β = 90.00°, γ = 120.00°
Space group R-3 (No. 148, hexagonal axes)
One atom of each set of equivalent atoms:
La 0.0002 0.4078 0.0002 [18 per cell]
La 0.0966 0.5485 0.4785 [18 per cell]
Sm 0.0000 0.0000 0.5000 [3 per cell]
Dy 0.0000 0.0000 0.0000 [3 per cell]
Dy 0.0832 0.1658 0.3021 [18 per cell]

Properties
* magnetic moment: 0.00 μB per cell
* ΔE_f: 0.198 eV per atom
* theoretical density: 6.92 g/cm3

(3)
La5Sm2Dy | PBE | optimized geometry

a = 9.0266 Å, b = 9.0266 Å, c = 13.9849 Å
α = 90.00°, β = 90.00°, γ = 90.00°
Space group I4/mcm (No. 140)
One atom of each set of equivalent atoms:
La 0.0000 0.0000 0.0000 [4 per cell]
La 0.1498 0.3502 0.1659 [16 per cell]
Sm 0.1465 0.3535 0.5000 [8 per cell]
Dy 0.0000 0.0000 0.2500 [4 per cell]

Properties
* magnetic moment: 0.00 μB per cell
* ΔE_f: 0.112 eV per atom
* theoretical density: 6.75 g/cm3

(4)
La4Sm4Dy3 | PBE | optimized geometry

a = 10.8387 Å, b = 5.7939 Å, c = 12.1465 Å
α = 90.00°, β = 90.00°, γ = 90.00°
Space group Amm2 (No. 38)
One atom of each set of equivalent atoms:
La 0.0000 0.0000 0.0000 [2 per cell]
La 0.2008 0.0000 0.8035 [4 per cell]
La 0.5000 0.0000 0.9274 [2 per cell]
Sm 0.0000 0.0000 0.5895 [2 per cell]
Sm 0.3038 0.0000 0.1492 [4 per cell]
Sm 0.5000 0.0000 0.6524 [2 per cell]
Dy 0.0000 0.0000 0.2955 [2 per cell]
Dy 0.2891 0.0000 0.4544 [4 per cell]

Properties
* magnetic moment: 0.00 μB per cell
* ΔE_f: 0.139 eV per atom
* theoretical density: 7.16 g/cm3

(5)
LaSm6Dy2 | PBE | optimized geometry

a = 7.5296 Å, b = 7.5296 Å, c = 6.1736 Å
α = 90.00°, β = 90.00°, γ = 120.00°
Space group P-3m1 (No. 164)
One atom of each set of equivalent atoms:
La 0.0000 0.0000 0.0000 [1 per cell]
Sm 0.1865 0.3729 0.7081 [6 per cell]
Dy 0.3333 0.6667 0.2179 [2 per cell]

Properties
* magnetic moment: 0.65 μB per cell
* ΔE_f: 0.196 eV per atom
* theoretical density: 7.48 g/cm3

(6)
La6SmDy2 | PBE | optimized geometry

a = 9.5274 Å, b = 17.9900 Å, c = 3.7023 Å
α = 90.00°, β = 90.00°, γ = 90.00°
Space group Cmmm (No. 65)
One atom of each set of equivalent atoms:
La 0.1722 0.1657 0.0000 [8 per cell]
La 0.1760 0.0000 0.5000 [4 per cell]
Sm 0.0000 0.5000 0.0000 [2 per cell]
Dy 0.0000 0.3247 0.5000 [4 per cell]

Properties
* magnetic moment: 0.00 μB per cell
* ΔE_f: 0.116 eV per atom
* theoretical density: 6.85 g/cm3